This record from Alexandria describes an optimized crystal structure of LaDy4Ho2Er. The functional is PBE-GGA.

CIF file:
```
data_LaDy4Ho2Er
_chemical_formula_sum 'La2 Dy8 Ho4 Er2'
_symmetry_space_group_name_H-M 'P 1 2/m 1'
_symmetry_Int_Tables_number 10
_symmetry_space_group_name_Hall '-P 2y'
_cell_length_a 7.116
_cell_length_b 10.038
_cell_length_c 7.133
_cell_angle_alpha 90.00
_cell_angle_beta 90.04
_cell_angle_gamma 90.00
loop_
_atom_site_label
_atom_site_fract_x
_atom_site_fract_y
_atom_site_fract_z
La1 0.000 0.000 0.000
La2 0.000 0.000 0.500
Dy1 0.253 0.253 0.250
Dy2 0.253 0.253 0.750
Ho1 0.000 0.500 0.000
Ho2 0.500 0.000 0.000
Ho3 0.500 0.500 0.000
Ho4 0.500 0.500 0.500
Er1 0.000 0.500 0.500
Er2 0.500 0.000 0.500
```

---

This record from Alexandria describes an optimized crystal structure of La4DyHoEr2. The functional is PBE-GGA.

CIF file:
```
data_La4DyHoEr2
_chemical_formula_sum 'La4 Dy1 Ho1 Er2'
_symmetry_space_group_name_H-M 'P m m m'
_symmetry_Int_Tables_number 47
_symmetry_space_group_name_Hall '-P 2 2'
_cell_length_a 5.227
_cell_length_b 5.253
_cell_length_c 9.861
_cell_angle_alpha 90.00
_cell_angle_beta 90.00
_cell_angle_gamma 90.00
loop_
_atom_site_label
_atom_site_fract_x
_atom_site_fract_y
_atom_site_fract_z
La1 0.000 0.000 0.249
La2 0.500 0.500 0.250
Dy1 0.500 0.000 0.500
Ho1 0.000 0.500 0.000
Er1 0.000 0.500 0.500
Er2 0.500 0.000 0.000
```

---

Number 1: calculated total energy -73.8 eV per cell, energy of formation from the pure elements 0.0197 eV per atom, magnetization 0.000 μB per cell. Number 2: calculated total energy -37.8 eV per cell, energy of formation from the pure elements 0.0219 eV per atom, magnetization 0.000 μB per cell.